# WCF2

A relaxed WCF2 crystal (PBE+U, the Alexandria database).

Cell lengths 5.5137, 5.5137, 5.5137 Å; angles 90.00, 90.00, 90.00 degrees
Closest atoms and distances in Å follow each position.
Space group Fm-3m (No. 225)
Asymmetric unit:
W1 0.0000 0.0000 0.0000 [4 per cell]  8 F 2.39
C1 0.0000 0.0000 0.5000 [4 per cell]  8 F 2.39
F1 0.2500 0.2500 0.2500 [8 per cell]  4 C 2.39, 4 W 2.39

Results
As for the calculated total energy: -68.98 eV per cell. The calculation puts the energy above the lowest structure with this stoichiometry at 779 meV per atom. The value obtained for the density of states at the Fermi level is 1.28 states/eV/f.u.

=====

# AcCr3O12

A relaxed AcCr3O12 crystal (PBE+U, the Alexandria database).

Cell lengths 8.5935, 8.5935, 29.4821 Å; angles 90.00, 90.00, 120.00 degrees
Closest atoms and distances in Å follow each position.
Space group R3c (No. 161, hexagonal axes)
Asymmetric unit:
Ac1 0.0000 0.0000 0.0000 [6 per cell]  9 O 2.55-2.72
Cr1 0.0185 0.3491 0.0579 [18 per cell]  4 O 1.65-1.68
O1 0.1400 0.3512 0.0137 [18 per cell]  1 Cr 1.66
O2 0.1486 0.4536 0.1028 [18 per cell]  1 Cr 1.68
O3 0.2028 0.4177 0.7342 [18 per cell]  1 Cr 1.67
O4 0.2115 0.4347 0.3771 [18 per cell]  1 Cr 1.65

Results
As for the calculated total energy: -629.95 eV per cell. The value obtained for the density of states at the Fermi level is 10.94 states/eV/f.u.